Record 1
Computed, not measured: crystalline Sm8Mg3In2 at its relaxed geometry at the PBE level of DFT.

a b c (Å): 14.709 8.694 6.510
angles (deg): 90.00 97.34 90.00
Space group C2/m (No. 12)
Inequivalent atoms, fractional coordinates:
Sm (0.090, 0.000, 0.386) x4
Sm (0.115, 0.192, 0.911) x8
Sm (0.190, 0.500, 0.324) x4
Mg (0.000, 0.336, 0.500) x4
Mg (0.000, 0.500, 0.000) x2
In (0.217, 0.500, 0.818) x4

* energy relative to the elements: 0.059 eV/f.u.
* crystal system: monoclinic

***

Record 2
Computed, not measured: crystalline CoMoAs3 at its relaxed geometry at the PBE level of DFT.

a b c (Å): 4.539 4.539 4.539
angles (deg): 90.00 90.00 90.00
Space group Pm-3m (No. 221)
Inequivalent atoms, fractional coordinates:
Co (0.000, 0.000, 0.000) x1
Mo (0.500, 0.500, 0.500) x1
As (0.000, 0.000, 0.500) x3

* energy relative to the elements: 3.804 eV/f.u.
* ΔE to the lowest computed polymorph: 0.0 meV per atom
* crystal system: cubic

***

Record 3
Computed, not measured: crystalline Tm6InRh2 at its relaxed geometry at the PBE level of DFT.

a b c (Å): 9.258 9.466 10.284
angles (deg): 90.00 90.00 90.00
Space group Immm (No. 71)
Inequivalent atoms, fractional coordinates:
Tm (0.000, 0.203, 0.238) x8
Tm (0.194, 0.500, 0.171) x8
Tm (0.211, 0.317, 0.500) x8
In (0.000, 0.000, 0.000) x2
In (0.000, 0.000, 0.500) x2
Rh (0.000, 0.334, 0.000) x4
Rh (0.000, 0.500, 0.366) x4

* energy relative to the elements: -5.522 eV/f.u.
* crystal system: orthorhombic

***

Record 4
Computed, not measured: crystalline ZnAgCl3 at its relaxed geometry at the PBE level of DFT.

a b c (Å): 13.075 12.336 6.698
angles (deg): 90.00 107.01 90.00
Space group C2/c (No. 15)
Inequivalent atoms, fractional coordinates:
Zn (0.200, 0.084, 0.279) x8
Ag (0.000, 0.223, 0.750) x4
Ag (0.000, 0.398, 0.250) x4
Cl (0.118, 0.415, 0.635) x8
Cl (0.126, 0.239, 0.115) x8
Cl (0.138, 0.067, 0.570) x8

* ΔE_f (raw): -411 kJ/mol of formula units
* ΔE to the lowest computed polymorph: 0.0 meV per atom
* crystal system: monoclinic

***

Record 5
Computed, not measured: crystalline Li3Er3ZrTe8 at its relaxed geometry at the PBE level of DFT.

a b c (Å): 14.780 8.534 8.630
angles (deg): 90.00 124.86 90.00
Space group C2/m (No. 12)
Inequivalent atoms, fractional coordinates:
Li (0.000, 0.000, 0.000) x2
Li (0.250, 0.250, 0.000) x4
Er (0.000, 0.500, 0.500) x2
Er (0.250, 0.250, 0.500) x4
Zr (0.000, 0.000, 0.500) x2
Te (0.002, 0.242, 0.747) x8
Te (0.244, 0.000, 0.747) x4
Te (0.248, 0.000, 0.244) x4

* ΔE_f (raw): -1714 kJ/mol of formula units
* crystal system: monoclinic

***

Record 6
Computed, not measured: crystalline KBiI4 at its relaxed geometry at the PBE level of DFT.

a b c (Å): 10.210 17.236 7.873
angles (deg): 90.00 123.09 90.00
Space group C2/c (No. 15)
Inequivalent atoms, fractional coordinates:
K (0.000, 0.112, 0.250) x4
Bi (0.000, 0.419, 0.750) x4
I (0.174, 0.296, 0.692) x8
I (0.232, 0.452, 0.216) x8

* ΔE_f (raw): -450 kJ/mol of formula units
* ΔE to the lowest computed polymorph: 5.1 meV per atom
* crystal system: monoclinic

***

Record 7
Computed, not measured: crystalline Ho4TmTh4 at its relaxed geometry at the PBE level of DFT.

a b c (Å): 10.634 10.634 5.029
angles (deg): 90.00 90.00 90.00
Space group I4/mmm (No. 139)
Inequivalent atoms, fractional coordinates:
Ho (0.000, 0.329, 0.000) x8
Tm (0.000, 0.000, 0.000) x2
Th (0.165, 0.165, 0.500) x8

* energy relative to the elements: 0.372 eV/f.u.
* crystal system: tetragonal

***

Record 8
Computed, not measured: crystalline CrSb2TeBr at its relaxed geometry at the PBE level of DFT.

a b c (Å): 5.418 5.418 5.565
angles (deg): 90.00 90.00 90.00
Space group P4/mmm (No. 123)
Inequivalent atoms, fractional coordinates:
Cr (0.000, 0.000, 0.000) x1
Sb (0.000, 0.500, 0.500) x2
Te (0.500, 0.500, 0.000) x1
Br (0.500, 0.500, 0.500) x1

* ΔE_f (raw): 796 kJ/mol of formula units
* ΔE to the lowest computed polymorph: 1404.2 meV per atom
* crystal system: tetragonal

***

Record 9
Computed, not measured: crystalline Cr2CdCoMo at its relaxed geometry at the PBE level of DFT.

a b c (Å): 4.278 4.278 4.482
angles (deg): 90.00 90.00 90.00
Space group P4/mmm (No. 123)
Inequivalent atoms, fractional coordinates:
Cr (0.000, 0.500, 0.000) x2
Cd (0.000, 0.000, 0.500) x1
Co (0.500, 0.500, 0.000) x1
Mo (0.500, 0.500, 0.500) x1

* energy relative to the elements: 5.686 eV/f.u.
* crystal system: tetragonal

***

Record 10
Computed, not measured: crystalline ScTaAs at its relaxed geometry at the PBE level of DFT.

a b c (Å): 3.906 3.906 14.630
angles (deg): 90.00 90.00 90.00
Space group I4/mmm (No. 139)
Inequivalent atoms, fractional coordinates:
Sc (0.000, 0.000, 0.174) x4
Ta (0.000, 0.500, 0.000) x4
As (0.000, 0.000, 0.363) x4

* energy relative to the elements: -2.417 eV/f.u.
* crystal system: tetragonal

***

| no. | energy (eV per atom) |
| --- | --- |
| 1 | -3.689 |
| 2 | -5.616 |
| 3 | -5.532 |
| 4 | -2.785 |
| 5 | -4.725 |
| 6 | -2.641 |
| 7 | -5.788 |
| 8 | -2.887 |
| 9 | -6.482 |
| 10 | -8.417 |